Record 1
# Cr2InBr, optimized geometry, DFT PBE
# Formation energy (no corrections) ... 0.605 eV/atom
data_Cr2InBr
_cell_length_a 3.9888
_cell_length_b 3.9888
_cell_length_c 11.0605
_cell_angle_alpha 90.00
_cell_angle_beta 90.00
_cell_angle_gamma 90.00
_space_group_name_H-M_alt 'I -4 m 2'
_space_group_IT_number 119
_space_group_name_Hall 'I -4 -2'
loop_
_atom_site_label
_atom_site_fract_x
_atom_site_fract_y
_atom_site_fract_z
_atom_site_occupancy
Cr1 0.0000 0.0000 0.0000 1
Cr2 0.0000 0.5000 0.2500 1
In1 0.0000 0.5000 0.7500 1
Br1 0.0000 0.0000 0.5000 1



Record 2
# MgCu2O3, optimized geometry, DFT PBE
# Formation energy (no corrections) ... -1.060 eV/atom
data_MgCu2O3
_cell_length_a 4.2295
_cell_length_b 4.2295
_cell_length_c 3.8617
_cell_angle_alpha 90.00
_cell_angle_beta 90.00
_cell_angle_gamma 90.00
_space_group_name_H-M_alt 'P 4/m m m'
_space_group_IT_number 123
_space_group_name_Hall '-P 4 2'
loop_
_atom_site_label
_atom_site_fract_x
_atom_site_fract_y
_atom_site_fract_z
_atom_site_occupancy
Mg1 0.0000 0.0000 0.0000 1
Cu1 0.0000 0.5000 0.5000 1
O1 0.0000 0.0000 0.5000 1
O2 0.0000 0.5000 0.0000 1



What is the formula in the first record? Cr2InBr



Which of these has the highest formation energy (no corrections)? Cr2InBr